(1)
Here is an optimized crystal structure of AlTc2Pt from the Open Quantum Materials Database. Energies are from PBE.

Its total energy is -7.80 eV/atom.

It has space group F-43m (No. 216), with a = 6.188 Å, b = 6.188 Å, c = 6.188 Å, α = 90.00°, β = 90.00° and γ = 90.00°. The asymmetric unit holds Al at (0.000, 0.000, 0.000), Tc at (0.000, 0.000, 0.500), Tc at (0.250, 0.250, 0.750) and Pt at (0.250, 0.250, 0.250).

***

(2)
Here is an optimized crystal structure of AlTcPt from the Open Quantum Materials Database. Energies are from PBE.

Its total energy is -6.79 eV/atom. The energy relative to the lowest polymorph listed for this composition is 0 meV per atom.

It has space group F-43m (No. 216), with a = 5.946 Å, b = 5.946 Å, c = 5.946 Å, α = 90.00°, β = 90.00° and γ = 90.00°. The asymmetric unit holds Al at (0.000, 0.000, 0.000), Tc at (0.000, 0.000, 0.500) and Pt at (0.250, 0.250, 0.250).

***

(3)
Here is an optimized crystal structure of AlTcPt2 from the Open Quantum Materials Database. Energies are from PBE.

Its total energy is -6.82 eV/atom.

It has space group F-43m (No. 216), with a = 6.217 Å, b = 6.217 Å, c = 6.217 Å, α = 90.00°, β = 90.00° and γ = 90.00°. The asymmetric unit holds Al at (0.000, 0.000, 0.000), Tc at (0.250, 0.250, 0.250), Pt at (0.000, 0.000, 0.500) and Pt at (0.250, 0.250, 0.750).

***

(4)
Here is an optimized crystal structure of Al2Te4Pt from the Open Quantum Materials Database. Energies are from PBE.

Its total energy is -3.98 eV/atom.

It has space group I-4 (No. 82), with a = 5.877 Å, b = 5.877 Å, c = 12.311 Å, α = 90.00°, β = 90.00° and γ = 90.00°. The asymmetric unit holds Al at (0.000, 0.000, 0.000), Al at (0.000, 0.500, 0.250), Te at (0.225, 0.733, 0.634) and Pt at (0.000, 0.000, 0.500).

***

(5)
Here is an optimized crystal structure of AlTePt from the Open Quantum Materials Database. Energies are from PBE.

Its total energy is -4.10 eV/atom.

It has space group F-43m (No. 216), with a = 6.476 Å, b = 6.476 Å, c = 6.476 Å, α = 90.00°, β = 90.00° and γ = 90.00°. The asymmetric unit holds Al at (0.000, 0.000, 0.000), Te at (0.250, 0.250, 0.250) and Pt at (0.000, 0.000, 0.500).

***

(6)
Here is an optimized crystal structure of Al2Tl6Pt from the Open Quantum Materials Database. Energies are from PBE.

Its total energy is -2.95 eV/atom.

It has space group P-62m (No. 189), with a = 8.2922 Å, b = 8.2922 Å, c = 3.7602 Å, α = 90.00°, β = 90.00° and γ = 120.00°. The asymmetric unit holds Al at (0.3333, 0.6667, 0.0000), Tl at (0.0000, 0.2620, 0.0000), Tl at (0.0000, 0.6107, 0.5000) and Pt at (0.0000, 0.0000, 0.5000).